Below is a relaxed structure of HfB2, with properties calculated at the PBE level.

M_tot ... 0.0 μB/cell
Crystal system ... tetragonal
E_form ... 135 kJ/mol of formula units

a b c (Å): 2.776 2.776 4.678
angles (deg): 107.26 107.26 90.00
Atoms (fractional coordinates):
1 Hf 0.000 0.000 0.000
2 B 0.711 0.711 0.422
3 B 0.289 0.289 0.578


Below is a relaxed structure of HfHgB3, with properties calculated at the PBE level.

M_tot ... 0.0 μB/cell
Crystal system ... cubic
ΔE to the lowest computed polymorph ... 1.41 eV/f.u.
E_form ... 983 kJ/mol of formula units

a b c (Å): 4.275 4.275 4.275
angles (deg): 90.00 90.00 90.00
Atoms (fractional coordinates):
1 B 0.000 0.500 0.000
2 B 0.500 0.000 0.000
3 B 0.000 0.000 0.500
4 Hf 0.500 0.500 0.500
5 Hg 0.000 0.000 0.000


Looking at calculated total energy for the records above, in order, we have -7.30; -4.02 eV per atom.